! Mg6MnSiO8, optimized geometry, DFT GGA+U; values from VASP
! - Density of states at the Fermi level: 0.01 states/eV per atom
! - E above lowest polymorph: 8.1 meV per atom
! - E_tot: -6.120 eV per atom
&SYSTEM
  ibrav = 0, nat = 16, ntyp = 4
/
ATOMIC_SPECIES
O 16.00 O.upf
Mg 24.30 Mg.upf
Si 28.09 Si.upf
Mn 54.94 Mn.upf
CELL_PARAMETERS angstrom
4.3548 0.0000 0.0000
0.0000 4.3548 0.0000
0.0000 0.0000 8.6960
ATOMIC_POSITIONS angstrom
O 2.1774 0.0000 0.0000
O 0.0000 0.0000 6.5462
O 2.1774 2.1774 6.5187
O 2.1774 2.1774 2.1773
O 0.0000 2.1774 4.3480
O 0.0000 2.1774 0.0000
O 0.0000 0.0000 2.1498
O 2.1774 0.0000 4.3480
Mg 2.1774 2.1774 4.3480
Mg 2.1774 0.0000 6.5260
Mg 0.0000 2.1774 6.5260
Mg 2.1774 0.0000 2.1700
Mg 0.0000 2.1774 2.1700
Mg 2.1774 2.1774 0.0000
Si 0.0000 0.0000 4.3480
Mn 0.0000 0.0000 0.0000